Computed, not measured: Sr2IrBr after structural relaxation at the PBE-GGA level of DFT.

Lattice parameters (Å, degrees): 3.704 3.629 8.130 90.00 90.10 90.00
Fractional coordinates of all 4 atoms:
Sr: 0.001 0.000 0.216
Sr: 0.999 0.000 0.784
Ir: 0.500 0.500 0.000
Br: 0.500 0.500 0.500

DOS(E_F) ... 0.14 states/eV/atom
E ... -4.282 eV per atom
ΔE_f (raw) ... -0.81 eV/atom

Computed, not measured: HoLu2Pa after structural relaxation at the PBE-GGA level of DFT.

Lattice parameters (Å, degrees): 3.383 3.383 9.958 90.00 90.00 90.00
Fractional coordinates of all 4 atoms:
Ho: 0.000 0.000 0.000
Lu: 0.500 0.500 0.264
Lu: 0.500 0.500 0.736
Pa: 0.000 0.000 0.500

E_form ... 0.1182 eV/atom
DOS(E_F) ... 1.82 states/eV/atom
E ... -5.661 eV per atom

Computed, not measured: Ba2Ge2Bi after structural relaxation at the PBE-GGA level of DFT.

Lattice parameters (Å, degrees): 8.010 8.010 4.893 90.00 90.00 148.29
Fractional coordinates of all 5 atoms:
Ba: 0.127 0.873 0.000
Ba: 0.873 0.127 0.000
Ge: 0.296 0.704 0.500
Ge: 0.704 0.296 0.500
Bi: 0.500 0.500 0.500

E_form ... -0.6354 eV/atom
DOS(E_F) ... 0.44 states/eV/atom
E ... -4.028 eV per atom

Computed, not measured: SiHgOsPb2 after structural relaxation at the PBE-GGA level of DFT.

Lattice parameters (Å, degrees): 5.394 5.394 4.605 90.00 90.00 90.00
Fractional coordinates of all 5 atoms:
Si: 0.000 0.000 0.000
Hg: 0.500 0.500 0.000
Os: 0.000 0.000 0.500
Pb: 0.000 0.500 0.500
Pb: 0.500 0.000 0.500

DOS(E_F) ... 1.29 states/eV/atom
E ... -4.478 eV per atom
ΔE_f (raw) ... 0.40 eV/atom